LiGaAu2: optimized geometry, PBE.

Calculated values
Symmetry: P4/mmm (123)
Mass density in Mg/m³: 11.89
E_tot in eV per atom: -3.229
Formation energy from the elements in eV/atom: -0.3555

The structure in POSCAR format:
```
LiGaAu2
1.0
3.216 0.000 0.000
0.000 3.216 0.000
0.000 0.000 6.357
Li Ga Au
1 1 2
Direct
0.000 0.000 0.000
0.000 0.000 0.500
0.500 0.500 0.235
0.500 0.500 0.765
```

=====

ZnGa2Au4: optimized geometry, PBE.

Calculated values
Symmetry: I4/mmm (139)
Distance to the lowest polymorph of the same formula in meV/atom: 296
Mass density in Mg/m³: 10.52
E_tot in eV per atom: -2.758
Formation energy from the elements in eV/atom: 0.1613

The structure in POSCAR format:
```
ZnGa2Au4
1.0
-2.465 2.465 6.447
2.465 -2.465 6.447
2.465 2.465 -6.447
Zn Ga Au
1 2 4
Direct
0.000 0.000 0.000
0.388 0.388 0.000
0.612 0.612 0.000
0.000 0.500 0.500
0.197 0.197 0.000
0.500 0.000 0.500
0.803 0.803 0.000
```